No. 1
DFT (PBE) results for an optimized crystal structure of Nd4Ho5Tm.

Lattice parameters (Å, degrees): 17.1433 3.5263 11.2395 90.00 90.10 90.00
With the nearest neighbours (Å) after each atom.
Space group C2/m (No. 12)
Symmetry-distinct sites (fractional):
Nd  0.0314  0.0000  0.2494 (multiplicity 4)  4 Ho 3.31-3.37, 2 Tm 3.35, 4 Nd 3.53-3.69
Nd  0.1577  0.5000  0.7497 (multiplicity 4)  4 Nd 3.53-3.69, 7 Ho 3.66-3.89, 1 Tm 3.91
Ho  0.0000  0.5000  0.5000 (multiplicity 2)  4 Nd 3.37, 6 Ho 3.50-3.53
Ho  0.1728  0.0000  0.0492 (multiplicity 4)  2 Nd 3.31-3.68, 4 Ho 3.37-3.53, 2 Tm 3.49
Ho  0.1733  0.0000  0.4494 (multiplicity 4)  2 Nd 3.31-3.66, 6 Ho 3.36-3.53
Tm  0.0000  0.5000  0.0000 (multiplicity 2)  4 Nd 3.35, 4 Ho 3.49, 2 Tm 3.53

- density (g cm⁻³) = 7.7
- energy relative to the lowest polymorph listed for this composition (meV per atom) = 0
- magnetization (μB per formula unit) = 0.00
- energy of formation (eV per atom) = 0.190

=====

No. 2
DFT (PBE) results for an optimized crystal structure of SrCrNiP2.

Lattice parameters (Å, degrees): 3.8262 3.8262 12.0166 90.00 90.00 90.00
With the nearest neighbours (Å) after each atom.
Space group I-4m2 (No. 119)
Symmetry-distinct sites (fractional):
Sr  0.0000  0.0000  0.0000 (multiplicity 2)  8 P 3.22, 4 Cr 3.56, 4 Ni 3.56
Cr  0.0000  0.5000  0.7500 (multiplicity 2)  4 P 2.29
Ni  0.0000  0.5000  0.2500 (multiplicity 2)  4 P 2.29
P  0.0000  0.0000  0.3540 (multiplicity 4)  2 Cr 2.29, 2 Ni 2.29

- density (g cm⁻³) = 4.9
- magnetization (μB per formula unit) = 1.43
- energy of formation (eV per atom) = -0.781

=====

No. 3
DFT (PBE) results for an optimized crystal structure of Ba2CdGeTe.

Lattice parameters (Å, degrees): 6.4282 6.4282 4.9489 90.00 90.00 90.00
With the nearest neighbours (Å) after each atom.
Space group P4/mmm (No. 123)
Symmetry-distinct sites (fractional):
Ba  0.0000  0.5000  0.0000 (multiplicity 2)  2 Ge 3.21
Cd  0.0000  0.0000  0.5000 (multiplicity 1)  2 Ge 2.47
Ge  0.0000  0.0000  0.0000 (multiplicity 1)  2 Cd 2.47
Te  0.5000  0.5000  0.5000 (multiplicity 1)  8 Ba 4.06

- density (g cm⁻³) = 4.8
- ΔE_f (raw) (kJ/mol of formula units) = -318.6
- magnetization (μB per formula unit) = 0.00

=====

No. 4
DFT (PBE) results for an optimized crystal structure of ReAu3.

Lattice parameters (Å, degrees): 2.8940 2.8940 28.2631 90.00 90.00 120.00
With the nearest neighbours (Å) after each atom.
Space group R-3m (No. 166, hexagonal axes)
Symmetry-distinct sites (fractional):
Re  0.0000  0.0000  0.0000 (multiplicity 3)  6 Au 2.82, 6 Re 2.89
Au  0.0000  0.0000  0.2532 (multiplicity 6)  3 Re 2.82, 9 Au 2.89-2.96
Au  0.0000  0.0000  0.5000 (multiplicity 3)  12 Au 2.89-2.96

- density (g cm⁻³) = 18.9
- magnetization (μB per formula unit) = 0.22
- energy of formation (eV per atom) = 0.336

=====

No. 5
DFT (PBE) results for an optimized crystal structure of Ac3Sm3Dy.

Lattice parameters (Å, degrees): 9.3789 10.3347 11.2752 90.00 91.54 90.00
With the nearest neighbours (Å) after each atom.
Space group C2/m (No. 12)
Symmetry-distinct sites (fractional):
Ac  0.1693  0.0000  0.4185 (multiplicity 4)  1 Dy 3.49, 4 Sm 3.69-3.83, 1 Ac 3.71
Ac  0.1948  0.1831  0.7507 (multiplicity 8)  2 Dy 3.63-3.66, 4 Sm 3.63-3.96, 2 Ac 3.79-4.01
Sm  0.0000  0.3140  0.0000 (multiplicity 4)  2 Dy 3.37, 4 Sm 3.64-3.70, 2 Ac 3.65
Sm  0.0000  0.3244  0.5000 (multiplicity 4)  2 Dy 3.41, 1 Sm 3.63, 4 Ac 3.63-3.69
Sm  0.1793  0.0000  0.0561 (multiplicity 4)  1 Dy 3.42, 5 Sm 3.56-3.70
Dy  0.0285  0.5000  0.7557 (multiplicity 4)  5 Sm 3.37-3.42, 5 Ac 3.49-3.66

- density (g cm⁻³) = 7.9
- magnetization (μB per formula unit) = 0.00
- energy of formation (eV per atom) = 0.114

=====

No. 6
DFT (PBE) results for an optimized crystal structure of CaCdTc2O8.

Lattice parameters (Å, degrees): 5.2405 5.2405 11.7037 90.00 90.00 90.00
With the nearest neighbours (Å) after each atom.
Space group I-4 (No. 82)
Symmetry-distinct sites (fractional):
Ca  0.0000  0.0000  0.0000 (multiplicity 2)  8 O 2.42-2.53
Cd  0.0000  0.5000  0.2500 (multiplicity 2)  8 O 2.43-2.52
Tc  0.0000  0.0000  0.5000 (multiplicity 2)  4 O 1.80
Tc  0.0000  0.5000  0.7500 (multiplicity 2)  4 O 1.79
O  0.1543  0.2501  0.4210 (multiplicity 8)  1 Tc 1.80
O  0.1571  0.7454  0.8303 (multiplicity 8)  1 Tc 1.79

- density (g cm⁻³) = 4.9
- ΔE_f (raw) (kJ/mol of formula units) = -1888.3
- magnetization (μB per formula unit) = 0.21

=====

No. 7
DFT (PBE) results for an optimized crystal structure of TbNpH2.

Lattice parameters (Å, degrees): 3.5213 3.5213 18.1752 90.00 90.00 120.00
With the nearest neighbours (Å) after each atom.
Space group R-3m (No. 166, hexagonal axes)
Symmetry-distinct sites (fractional):
Tb  0.0000  0.0000  0.0000 (multiplicity 3)  6 H 2.18
Np  0.0000  0.0000  0.5000 (multiplicity 3)  2 H 2.23
H  0.0000  0.0000  0.3773 (multiplicity 6)  3 Tb 2.18, 1 Np 2.23

- density (g cm⁻³) = 10.2
- DFT total energy (eV/atom) = -6.22
- magnetization (μB per formula unit) = 4.38

=====

No. 8
DFT (PBE) results for an optimized crystal structure of HgINF2.

Lattice parameters (Å, degrees): 4.5253 4.5253 4.5399 90.00 90.00 90.00
With the nearest neighbours (Å) after each atom.
Space group P4/mmm (No. 123)
Symmetry-distinct sites (fractional):
Hg  0.0000  0.0000  0.0000 (multiplicity 1)  4 F 2.26, 2 N 2.27
I  0.5000  0.5000  0.5000 (multiplicity 1)  4 N 3.20, 8 F 3.21
N  0.0000  0.0000  0.5000 (multiplicity 1)  2 Hg 2.27
F  0.0000  0.5000  0.0000 (multiplicity 2)  2 Hg 2.26

- density (g cm⁻³) = 6.8
- ΔE_f (raw) (kJ/mol of formula units) = 172.5
- energy relative to the lowest polymorph listed for this composition (meV per atom) = 210
- magnetization (μB per formula unit) = 0.72

=====

No. 9
DFT (PBE) results for an optimized crystal structure of Pd7Au3.

Lattice parameters (Å, degrees): 14.5199 3.9690 5.7219 90.00 101.52 90.00
With the nearest neighbours (Å) after each atom.
Space group C2/m (No. 12)
Symmetry-distinct sites (fractional):
Pd  0.0000  0.0000  0.0000 (multiplicity 2)  8 Pd 2.82-2.83, 4 Au 2.84-2.86
Pd  0.0993  0.5000  0.2985 (multiplicity 4)  8 Pd 2.82-2.86, 4 Au 2.82-2.83
Pd  0.0992  0.5000  0.7986 (multiplicity 4)  5 Au 2.82-2.87, 7 Pd 2.82-2.86
Pd  0.1996  0.0000  0.5966 (multiplicity 4)  7 Pd 2.82-2.86, 5 Au 2.83-2.89
Au  0.0000  0.0000  0.5000 (multiplicity 2)  12 Pd 2.82-2.86
Au  0.1993  0.0000  0.1019 (multiplicity 4)  10 Pd 2.82-2.89, 2 Au 2.86

- density (g cm⁻³) = 13.7
- magnetization (μB per formula unit) = 0.00
- energy of formation (eV per atom) = -0.041

=====

No. 10
DFT (PBE) results for an optimized crystal structure of CaMgW2.

Lattice parameters (Å, degrees): 2.7567 2.7567 9.8858 90.00 90.00 90.00
With the nearest neighbours (Å) after each atom.
Space group P4/mmm (No. 123)
Symmetry-distinct sites (fractional):
Ca  0.0000  0.0000  0.0000 (multiplicity 1)  4 Ca 2.76
Mg  0.0000  0.0000  0.5000 (multiplicity 1)  4 Mg 2.76, 8 W 3.01
W  0.5000  0.5000  0.2676 (multiplicity 2)  4 W 2.76, 4 Mg 3.01

- density (g cm⁻³) = 9.5
- magnetization (μB per formula unit) = 0.00
- energy of formation (eV per atom) = 0.719

=====

No. 11
DFT (PBE) results for an optimized crystal structure of BeReAg2.

Lattice parameters (Å, degrees): 2.6885 2.6885 8.0443 90.00 90.00 90.00
With the nearest neighbours (Å) after each atom.
Space group P4/mmm (No. 123)
Symmetry-distinct sites (fractional):
Be  0.0000  0.0000  0.0000 (multiplicity 1)  8 Ag 2.58, 4 Be 2.69
Re  0.0000  0.0000  0.5000 (multiplicity 1)  4 Re 2.69, 8 Ag 2.97
Ag  0.5000  0.5000  0.2163 (multiplicity 2)  4 Be 2.58, 4 Ag 2.69

- density (g cm⁻³) = 11.7
- magnetization (μB per formula unit) = 0.00
- energy of formation (eV per atom) = 0.507

=====

No. 12
DFT (PBE) results for an optimized crystal structure of Fe2CuCl.

Lattice parameters (Å, degrees): 6.0555 6.0555 6.0555 90.00 90.00 90.00
With the nearest neighbours (Å) after each atom.
Space group F-43m (No. 216)
Symmetry-distinct sites (fractional):
Fe  0.0000  0.0000  0.0000 (multiplicity 4)  4 Fe 2.62, 4 Cu 2.62
Fe  0.2500  0.2500  0.2500 (multiplicity 4)  4 Cl 2.62, 4 Fe 2.62
Cu  0.2500  0.2500  0.7500 (multiplicity 4)  4 Cl 2.62, 4 Fe 2.62
Cl  0.0000  0.0000  0.5000 (multiplicity 4)  4 Cu 2.62, 4 Fe 2.62

- density (g cm⁻³) = 6.3
- ΔE_f (raw) (kJ/mol of formula units) = 281.9
- energy relative to the lowest polymorph listed for this composition (meV per atom) = 557
- magnetization (μB per formula unit) = 5.50

=====

No. 13
DFT (PBE) results for an optimized crystal structure of LiTaRe2.

Lattice parameters (Å, degrees): 2.6765 4.4037 5.2417 90.00 99.74 90.00
With the nearest neighbours (Å) after each atom.
Space group Pm (No. 6)
Symmetry-distinct sites (fractional):
Li  0.0000  0.0000  0.0000 (multiplicity 1)  5 Re 2.67-2.95, 2 Li 2.68, 2 Ta 2.71
Ta  0.2814  0.5000  0.7567 (multiplicity 1)  2 Ta 2.68, 2 Li 2.71, 4 Re 2.73-2.81
Re  0.5634  0.0000  0.4799 (multiplicity 1)  4 Re 2.63-2.68, 3 Li 2.70-2.95, 2 Ta 2.81
Re  0.8032  0.5000  0.2529 (multiplicity 1)  4 Re 2.63-2.68, 2 Li 2.67, 2 Ta 2.73-2.74

- density (g cm⁻³) = 15.3
- energy relative to the lowest polymorph listed for this composition (meV per atom) = 13
- magnetization (μB per formula unit) = 0.00
- energy of formation (eV per atom) = 0.115

=====

No. 14
DFT (PBE) results for an optimized crystal structure of MnCoB.

Lattice parameters (Å, degrees): 4.1806 7.0492 7.2042 90.00 90.00 90.00
With the nearest neighbours (Å) after each atom.
Space group Fmmm (No. 69)
Symmetry-distinct sites (fractional):
Mn  0.0000  0.1612  0.0000 (multiplicity 8)  4 B 2.17, 1 Mn 2.27
Co  0.0000  0.0000  0.3333 (multiplicity 8)  4 B 2.13
B  0.2500  0.2500  0.2500 (multiplicity 8)  2 B 2.09, 4 Co 2.13, 4 Mn 2.17

- density (g cm⁻³) = 7.8
- magnetization (μB per formula unit) = 2.29
- energy of formation (eV per atom) = -0.301

=====

No. 15
DFT (PBE) results for an optimized crystal structure of Ca2TlCd2Pd5.

Lattice parameters (Å, degrees): 10.1055 10.1055 3.9724 90.00 90.00 90.00
With the nearest neighbours (Å) after each atom.
Space group P4/mbm (No. 127)
Symmetry-distinct sites (fractional):
Ca  0.1721  0.3279  0.0000 (multiplicity 4)  3 Cd 2.87-3.06, 2 Pd 3.16
Tl  0.0000  0.0000  0.0000 (multiplicity 2)  8 Pd 2.89
Cd  0.1268  0.6268  0.0000 (multiplicity 4)  6 Pd 2.69-2.73, 1 Ca 2.87
Pd  0.0000  0.5000  0.5000 (multiplicity 2)  4 Cd 2.69
Pd  0.0631  0.8016  0.5000 (multiplicity 8)  2 Cd 2.73, 2 Tl 2.89, 2 Pd 2.98

- density (g cm⁻³) = 8.5
- magnetization (μB per formula unit) = 0.00
- energy of formation (eV per atom) = -0.445

=====

No. 16
DFT (PBE) results for an optimized crystal structure of K2IrRh.

Lattice parameters (Å, degrees): 7.3148 7.3148 7.3148 90.00 90.00 90.00
With the nearest neighbours (Å) after each atom.
Space group Fm-3m (No. 225)
Symmetry-distinct sites (fractional):
K  0.2500  0.2500  0.2500 (multiplicity 8)  4 Ir 3.17, 4 Rh 3.17
Ir  0.0000  0.0000  0.0000 (multiplicity 4)  8 K 3.17
Rh  0.0000  0.0000  0.5000 (multiplicity 4)  8 K 3.17

- density (g cm⁻³) = 6.3
- energy relative to the lowest polymorph listed for this composition (meV per atom) = 1075
- magnetization (μB per formula unit) = 1.70
- energy of formation (eV per atom) = 1.453

=====

No. 17
DFT (PBE) results for an optimized crystal structure of InNi2Pd2.

Lattice parameters (Å, degrees): 3.7614 3.7614 11.3508 90.00 90.00 90.00
With the nearest neighbours (Å) after each atom.
Space group I4/mmm (No. 139)
Symmetry-distinct sites (fractional):
In  0.0000  0.0000  0.0000 (multiplicity 2)  8 Ni 2.88
Ni  0.0000  0.0000  0.4020 (multiplicity 4)  1 Ni 2.22
Pd  0.0000  0.5000  0.2500 (multiplicity 4)  4 Ni 2.55, 4 Pd 2.66

- density (g cm⁻³) = 9.2
- energy relative to the lowest polymorph listed for this composition (meV per atom) = 160
- magnetization (μB per formula unit) = 1.22
- energy of formation (eV per atom) = 0.142

=====

No. 18
DFT (PBE) results for an optimized crystal structure of SmTc3B2.

Lattice parameters (Å, degrees): 5.5484 5.5484 3.1660 90.00 90.00 120.00
With the nearest neighbours (Å) after each atom.
Space group P6/mmm (No. 191)
Symmetry-distinct sites (fractional):
Sm  0.0000  0.0000  0.0000 (multiplicity 1)  2 Sm 3.17, 12 Tc 3.19, 6 B 3.20
Tc  0.0000  0.5000  0.5000 (multiplicity 3)  4 B 2.25
B  0.3333  0.6667  0.0000 (multiplicity 2)  6 Tc 2.25

- density (g cm⁻³) = 9.2
- magnetization (μB per formula unit) = 0.00
- energy of formation (eV per atom) = -0.229

=====

No. 19
DFT (PBE) results for an optimized crystal structure of TcNiP.

Lattice parameters (Å, degrees): 5.5056 5.5056 5.5056 90.00 90.00 90.00
With the nearest neighbours (Å) after each atom.
Space group F-43m (No. 216)
Symmetry-distinct sites (fractional):
Tc  0.0000  0.0000  0.0000 (multiplicity 4)  4 Ni 2.38
Ni  0.2500  0.2500  0.2500 (multiplicity 4)  4 P 2.38, 4 Tc 2.38
P  0.0000  0.0000  0.5000 (multiplicity 4)  4 Ni 2.38

- density (g cm⁻³) = 7.5
- energy relative to the lowest polymorph listed for this composition (meV per atom) = 765
- magnetization (μB per formula unit) = 0.00
- energy of formation (eV per atom) = 0.263

=====

No. 20
DFT (PBE) results for an optimized crystal structure of IrRuBr4.

Lattice parameters (Å, degrees): 8.3917 8.3917 8.3917 90.00 90.00 90.00
With the nearest neighbours (Å) after each atom.
Space group F-43m (No. 216)
Symmetry-distinct sites (fractional):
Ir  0.0000  0.0000  0.0000 (multiplicity 4)  12 Br 3.48, 4 Ru 3.63
Ru  0.2500  0.2500  0.7500 (multiplicity 4)  12 Br 3.48, 4 Ir 3.63
Br  0.1252  0.1252  0.3748 (multiplicity 16)  6 Br 2.96-2.97

- density (g cm⁻³) = 6.9
- ΔE_f (raw) (kJ/mol of formula units) = 1116.5
- magnetization (μB per formula unit) = 4.41